Record 1
4
Lattice="1.850 1.068 6.184 -1.850 1.068 6.184 0.000 -2.136 6.184" Properties=species:S:1:pos:R:3 comment="Pu2PH PBE-GGA relaxed" de_polymorph_mev_per_atom=152 pbc="T T T"
Pu 0.000 0.000 0.000
Pu 0.000 0.000 2.720
P 0.000 0.000 10.625
H 0.000 0.000 13.724

=====

Record 2
A relaxed structure of PuP2H. Source: the Alexandria database, functional PBE-GGA.

Structure (extended XYZ):
```
4
Lattice="2.102 1.213 5.844 -2.102 1.213 5.844 0.000 -2.427 5.844" Properties=species:S:1:pos:R:3 pbc="T T T"
Pu 0.000 0.000 0.000
P 0.000 0.000 7.096
P 0.000 0.000 10.436
H 0.000 0.000 8.766
```

=====

Record 3
4
Lattice="4.617 0.000 0.000 0.000 4.617 0.000 0.000 0.000 3.447" Properties=species:S:1:pos:R:3 comment="Pu2PH PBE-GGA relaxed" de_polymorph_mev_per_atom=140 pbc="T T T"
Pu 0.000 2.309 0.000
Pu 2.309 0.000 0.000
P 0.000 0.000 1.724
H 2.309 2.309 1.724

=====

Record 4
A relaxed structure of Pu4P2H3. Source: the Alexandria database, functional PBE-GGA.

Structure (extended XYZ):
```
18
Lattice="2.881 -7.064 0.000 2.881 7.064 0.000 0.000 0.000 7.130" Properties=species:S:1:pos:R:3 pbc="T T T"
Pu 2.881 4.279 6.634
Pu 1.440 0.544 5.347
Pu 1.440 -0.544 1.782
Pu 2.881 2.785 3.070
Pu 2.881 -2.785 4.060
Pu 4.321 0.544 5.347
Pu 4.321 -0.544 1.782
Pu 2.881 -4.279 0.495
P 2.881 5.412 4.070
P 2.881 1.652 0.505
P 2.881 -1.652 6.624
P 2.881 -5.412 3.060
H 0.000 0.000 0.000
H 1.440 2.927 5.347
H 1.440 -2.927 1.782
H 2.881 0.000 3.565
H 4.321 2.927 5.347
H 4.321 -2.927 1.782
```

=====

Record 5
A relaxed structure of Pu6PH7. Source: the Alexandria database, functional PBE-GGA.

Structure (extended XYZ):
```
14
Lattice="3.152 1.820 6.255 -3.152 1.820 6.255 0.000 -3.640 6.255" Properties=species:S:1:pos:R:3 pbc="T T T"
Pu -0.849 -1.792 6.255
Pu -1.977 0.163 9.421
Pu -1.127 1.631 6.255
Pu 0.847 -1.794 9.421
Pu 1.976 0.161 6.255
Pu 1.130 1.630 9.421
P 0.000 0.000 14.098
H -1.284 -1.843 10.255
H -1.875 -0.024 11.677
H 0.000 0.000 7.838
H -0.953 2.034 10.254
H 0.958 -1.612 11.677
H 2.238 -0.191 10.255
H 0.917 1.636 11.677
```

=====

Record 6
10
Lattice="2.054 -7.713 0.000 2.054 7.713 0.000 0.000 0.000 5.554" Properties=species:S:1:pos:R:3 comment="Pu2P2H PBE-GGA relaxed" de_polymorph_mev_per_atom=36 pbc="T T T"
Pu 2.054 6.467 2.777
Pu 2.054 2.563 2.681
Pu 2.054 -2.563 5.458
Pu 2.054 -6.467 0.000
P 2.054 3.217 5.481
P 2.054 0.054 4.084
P 2.054 -0.054 1.307
P 2.054 -3.217 2.704
H 2.054 6.079 5.029
H 2.054 -6.079 2.252

=====

Calculated density for the records above, in order: 11.8; 5.7; 11.7; 11.9; 11.6; 10.4 g/cm3
Final energy for the records above, in order: -9.832; -7.184; -9.844; -9.369; -8.523; -9.416 eV per atom